Entry 1:
Entry from Alexandria via LeMat-Bulk: a relaxed structure of USeIF (GGA-PBE).

a = 4.112 Å, b = 4.112 Å, c = 8.227 Å
α = 104.55°, β = 104.55°, γ = 59.99°
Atoms (fractional coordinates):
U1 0.000 0.000 0.000
Se1 0.596 0.596 0.788
I1 0.767 0.767 0.299
F1 0.345 0.345 0.034

Energy relative to the elements, uncorrected: -1749 meV per atom


Entry 2:
Entry from Alexandria via LeMat-Bulk: a relaxed structure of Sc2TiCu (GGA-PBE).

a = 5.999 Å, b = 5.999 Å, c = 5.999 Å
α = 103.20°, β = 103.20°, γ = 122.91°
Atoms (fractional coordinates):
Sc1 0.084 0.625 0.959
Sc2 0.375 0.334 0.459
Sc3 0.666 0.125 0.041
Sc4 0.875 0.916 0.541
Ti1 0.250 0.750 0.500
Ti2 0.500 0.500 0.000
Cu1 0.000 0.000 0.000
Cu2 0.750 0.250 0.500

Formation energy from the elements: 0.243 eV/atom


Entry 3:
Entry from Alexandria via LeMat-Bulk: a relaxed structure of Ac2PrIrO8 (GGA-PBE).

a = 4.526 Å, b = 7.387 Å, c = 5.607 Å
α = 90.00°, β = 96.18°, γ = 90.00°
Atoms (fractional coordinates):
Ac1 0.000 0.242 0.000
Ac2 0.000 0.758 0.000
Pr1 0.500 0.500 0.500
Ir1 0.500 0.000 0.500
O1 0.047 0.500 0.250
O2 0.117 0.000 0.347
O3 0.431 0.203 0.725
O4 0.431 0.797 0.725
O5 0.569 0.203 0.275
O6 0.569 0.797 0.275
O7 0.883 0.000 0.653
O8 0.953 0.500 0.750

Energy relative to the elements, uncorrected: -2210 meV per atom


Number 1: calculated total energy -25.19 eV per formula unit. Number 2: calculated total energy -23.68 eV per formula unit. Number 3: calculated total energy -88.04 eV per formula unit.